1.
Here is crystalline Ac2PmPdSe5 at its relaxed geometry from Alexandria via LeMat-Bulk. Energies are from PBE-GGA.

a b c (Å): 4.1887 18.0271 12.9610
angles (deg): 90.00 90.00 90.00
Space group Cmc2_1 (No. 36)
Inequivalent atoms, fractional coordinates:
Ac1 0.0000 0.1130 0.0000 x4
Ac2 0.0000 0.1245 0.3512 x4
Pm1 0.0000 0.1755 0.6766 x4
Pd1 0.0000 0.4446 0.0804 x4
Se1 0.0000 0.0141 0.6767 x4
Se2 0.0000 0.3057 0.0146 x4
Se3 0.0000 0.3067 0.3392 x4
Se4 0.0000 0.3405 0.6729 x4
Se5 0.0000 0.4997 0.4000 x4

## Properties
E_tot: -202.64 eV per cell
Formation energy without anion corrections: -1.675 eV per atom
Volume: 27.186 A^3/atom


2.
Here is crystalline LaNbSe2N at its relaxed geometry from Alexandria via LeMat-Bulk. Energies are from PBE-GGA.

a b c (Å): 5.7236 5.7236 4.0629
angles (deg): 90.00 90.00 90.00
Space group P4/mmm (No. 123)
Inequivalent atoms, fractional coordinates:
La1 0.0000 0.0000 0.0000 x1
Nb1 0.5000 0.5000 0.5000 x1
Se1 0.0000 0.5000 0.0000 x2
N1 0.0000 0.0000 0.5000 x1

## Properties
E_tot: -27.61 eV per cell
Formation energy without anion corrections: 0.536 eV per atom
Offset from the most stable computed form: 7.72 eV per formula unit
Volume: 26.620 A^3/atom


Question: The highest volume belongs to which entry?
Answer: Ac2PmPdSe5


Question: The highest formation energy without anion corrections belongs to which entry?
Answer: LaNbSe2N